Entry 1:
VASP calculation (GGA-PBE) on an optimized crystal structure of MgCrSb. Values from VASP.

Values from the calculation:
ΔE_f (raw): 0.023 eV/atom
Spin magnetization: 0.6 μB/f.u.
Fermi-level density of states: 8.34 states/eV/cell

Quantum ESPRESSO input file:
```
&SYSTEM
  ibrav = 0, nat = 12, ntyp = 3
/
ATOMIC_SPECIES
Mg 24.30 Mg.upf
Cr 52.00 Cr.upf
Sb 121.76 Sb.upf
CELL_PARAMETERS angstrom
6.100 0.000 0.000
0.000 5.791 0.000
-0.196 0.000 6.663
ATOMIC_POSITIONS crystal
Mg 0.248 0.000 0.310
Mg 0.252 0.500 0.690
Mg 0.748 0.500 0.310
Mg 0.752 0.000 0.690
Cr 0.000 0.197 0.000
Cr 0.000 0.803 0.000
Cr 0.500 0.303 0.000
Cr 0.500 0.697 0.000
Sb 0.220 0.500 0.253
Sb 0.280 0.000 0.747
Sb 0.720 0.000 0.253
Sb 0.780 0.500 0.747
```

Entry 2:
VASP calculation (GGA-PBE) on an optimized crystal structure of InSnAu. Values from VASP.

Values from the calculation:
Formation energy: -0.05 eV/atom
Spin magnetization: 0.0 μB/f.u.
Fermi-level density of states: 4.73 states/eV/cell

Quantum ESPRESSO input file:
```
&SYSTEM
  ibrav = 0, nat = 12, ntyp = 3
/
ATOMIC_SPECIES
In 114.82 In.upf
Sn 118.71 Sn.upf
Au 196.97 Au.upf
CELL_PARAMETERS angstrom
7.673 0.000 0.000
0.000 6.171 0.000
0.000 0.000 6.263
ATOMIC_POSITIONS crystal
In 0.000 0.000 0.000
In 0.000 0.500 0.000
In 0.500 0.000 0.500
In 0.500 0.500 0.500
Sn 0.113 0.250 0.434
Sn 0.387 0.750 0.934
Sn 0.613 0.250 0.066
Sn 0.887 0.750 0.566
Au 0.201 0.750 0.340
Au 0.299 0.250 0.840
Au 0.701 0.750 0.160
Au 0.799 0.250 0.660
```

Entry 3:
VASP calculation (GGA-PBE) on an optimized crystal structure of Ni3BSe. Values from VASP.

Values from the calculation:
ΔE_f (raw): 0.046 eV/atom
E above lowest polymorph: 0 meV per atom
Spin magnetization: 0.0 μB/f.u.
Fermi-level density of states: 3.05 states/eV/cell

Quantum ESPRESSO input file:
```
&SYSTEM
  ibrav = 0, nat = 5, ntyp = 3
/
ATOMIC_SPECIES
Ni 58.69 Ni.upf
B 10.81 B.upf
Se 78.96 Se.upf
CELL_PARAMETERS angstrom
3.902 0.000 0.000
0.000 3.902 0.000
0.000 0.000 3.902
ATOMIC_POSITIONS crystal
Ni 0.000 0.000 0.500
Ni 0.000 0.500 0.000
Ni 0.500 0.000 0.000
B 0.000 0.000 0.000
Se 0.500 0.500 0.500
```

Entry 4:
VASP calculation (GGA-PBE) on an optimized crystal structure of FeCuRh. Values from VASP.

Values from the calculation:
E above lowest polymorph: 80 meV per atom
Formation energy: 0.07 eV/atom
Spin magnetization: 3.3 μB/f.u.
Fermi-level density of states: 6.97 states/eV/cell

Quantum ESPRESSO input file:
```
&SYSTEM
  ibrav = 0, nat = 6, ntyp = 3
/
ATOMIC_SPECIES
Fe 55.84 Fe.upf
Cu 63.55 Cu.upf
Rh 102.91 Rh.upf
CELL_PARAMETERS angstrom
2.712 0.000 0.000
0.000 2.712 0.000
0.000 0.000 10.561
ATOMIC_POSITIONS crystal
Fe 0.000 0.000 0.000
Fe 0.500 0.500 0.500
Cu 0.000 0.000 0.662
Cu 0.500 0.500 0.162
Rh 0.000 0.000 0.336
Rh 0.500 0.500 0.836
```

Entry 5:
VASP calculation (GGA-PBE) on an optimized crystal structure of Li5Ga4Ag. Values from VASP.

Values from the calculation:
Formation energy: -0.26 eV/atom
Spin magnetization: 0.0 μB/f.u.
Fermi-level density of states: 2.94 states/eV/cell

Quantum ESPRESSO input file:
```
&SYSTEM
  ibrav = 0, nat = 10, ntyp = 3
/
ATOMIC_SPECIES
Li 6.94 Li.upf
Ga 69.72 Ga.upf
Ag 107.87 Ag.upf
CELL_PARAMETERS angstrom
3.262 0.000 0.000
0.000 3.262 0.000
0.000 0.000 14.580
ATOMIC_POSITIONS crystal
Li 0.000 0.000 0.000
Li 0.000 0.000 0.198
Li 0.000 0.000 0.398
Li 0.000 0.000 0.602
Li 0.000 0.000 0.802
Ga 0.500 0.500 0.100
Ga 0.500 0.500 0.298
Ga 0.500 0.500 0.702
Ga 0.500 0.500 0.900
Ag 0.500 0.500 0.500
```

Entry 6:
VASP calculation (GGA-PBE) on an optimized crystal structure of TlHgAuS2. Values from VASP.

Values from the calculation:
ΔE_f (raw): -0.183 eV/atom
Spin magnetization: 0.0 μB/f.u.

Quantum ESPRESSO input file:
```
&SYSTEM
  ibrav = 0, nat = 10, ntyp = 4
/
ATOMIC_SPECIES
Tl 204.38 Tl.upf
Hg 200.59 Hg.upf
Au 196.97 Au.upf
S 32.06 S.upf
CELL_PARAMETERS angstrom
5.954 0.000 0.000
0.000 6.495 0.000
-1.204 0.000 7.415
ATOMIC_POSITIONS crystal
Tl 0.000 0.085 0.250
Tl 0.000 0.915 0.750
Hg 0.500 0.488 0.750
Hg 0.500 0.512 0.250
Au 0.500 0.000 0.000
Au 0.500 0.000 0.500
S 0.276 0.296 0.975
S 0.276 0.704 0.475
S 0.724 0.296 0.525
S 0.724 0.704 0.025
```

Entry 7:
VASP calculation (GGA-PBE) on an optimized crystal structure of TlTe3Br. Values from VASP.

Values from the calculation:
ΔE_f (raw): 0.435 eV/atom
E above lowest polymorph: 0 meV per atom
Spin magnetization: 0.0 μB/f.u.
Fermi-level density of states: 4.07 states/eV/cell

Quantum ESPRESSO input file:
```
&SYSTEM
  ibrav = 0, nat = 5, ntyp = 3
/
ATOMIC_SPECIES
Tl 204.38 Tl.upf
Te 127.60 Te.upf
Br 79.90 Br.upf
CELL_PARAMETERS angstrom
5.693 0.000 0.000
0.000 5.693 0.000
0.000 0.000 5.693
ATOMIC_POSITIONS crystal
Tl 0.000 0.000 0.000
Te 0.000 0.500 0.500
Te 0.500 0.000 0.500
Te 0.500 0.500 0.000
Br 0.500 0.500 0.500
```

Entry 8:
VASP calculation (GGA-PBE) on an optimized crystal structure of CaGa2Sn2. Values from VASP.

Values from the calculation:
E above lowest polymorph: 87 meV per atom
Formation energy: -0.19 eV/atom
Spin magnetization: 0.0 μB/f.u.
Fermi-level density of states: 5.55 states/eV/cell

Quantum ESPRESSO input file:
```
&SYSTEM
  ibrav = 0, nat = 10, ntyp = 3
/
ATOMIC_SPECIES
Ca 40.08 Ca.upf
Ga 69.72 Ga.upf
Sn 118.71 Sn.upf
CELL_PARAMETERS angstrom
4.328 0.000 0.000
0.000 4.328 0.000
0.000 0.000 14.064
ATOMIC_POSITIONS crystal
Ca 0.000 0.000 0.000
Ca 0.500 0.500 0.500
Ga 0.000 0.500 0.250
Ga 0.000 0.500 0.750
Ga 0.500 0.000 0.250
Ga 0.500 0.000 0.750
Sn 0.000 0.000 0.389
Sn 0.000 0.000 0.611
Sn 0.500 0.500 0.111
Sn 0.500 0.500 0.889
```

Entry 9:
VASP calculation (GGA-PBE) on an optimized crystal structure of MgPW. Values from VASP.

Values from the calculation:
E above lowest polymorph: 130 meV per atom
Formation energy: 0.00 eV/atom
Spin magnetization: 0.0 μB/f.u.
Fermi-level density of states: 1.88 states/eV/cell

Quantum ESPRESSO input file:
```
&SYSTEM
  ibrav = 0, nat = 3, ntyp = 3
/
ATOMIC_SPECIES
Mg 24.30 Mg.upf
P 30.97 P.upf
W 183.84 W.upf
CELL_PARAMETERS angstrom
3.095 0.000 0.000
-1.548 2.681 0.000
0.000 0.000 6.135
ATOMIC_POSITIONS crystal
Mg 0.000 0.000 0.000
P 0.667 0.333 0.352
W 0.333 0.667 0.616
```

Entry 10:
VASP calculation (GGA-PBE) on an optimized crystal structure of BaSrHgCl. Values from VASP.

Values from the calculation:
ΔE_f (raw): -0.899 eV/atom
Spin magnetization: 0.0 μB/f.u.
Fermi-level density of states: 19.80 states/eV/cell

Quantum ESPRESSO input file:
```
&SYSTEM
  ibrav = 0, nat = 16, ntyp = 4
/
ATOMIC_SPECIES
Ba 137.33 Ba.upf
Sr 87.62 Sr.upf
Hg 200.59 Hg.upf
Cl 35.45 Cl.upf
CELL_PARAMETERS angstrom
8.213 0.000 0.000
0.000 8.213 0.000
0.000 0.000 8.213
ATOMIC_POSITIONS crystal
Ba 0.000 0.000 0.000
Ba 0.000 0.500 0.500
Ba 0.500 0.000 0.500
Ba 0.500 0.500 0.000
Sr 0.000 0.000 0.500
Sr 0.000 0.500 0.000
Sr 0.500 0.000 0.000
Sr 0.500 0.500 0.500
Hg 0.250 0.250 0.750
Hg 0.250 0.750 0.250
Hg 0.750 0.250 0.250
Hg 0.750 0.750 0.750
Cl 0.250 0.250 0.250
Cl 0.250 0.750 0.750
Cl 0.750 0.250 0.750
Cl 0.750 0.750 0.250
```

Entry 11:
VASP calculation (GGA-PBE) on an optimized crystal structure of Sm6Y2Er3. Values from VASP.

Values from the calculation:
E above lowest polymorph: 281 meV per atom
Formation energy: 0.30 eV/atom
Spin magnetization: 0.0 μB/f.u.
Fermi-level density of states: 15.88 states/eV/cell

Quantum ESPRESSO input file:
```
&SYSTEM
  ibrav = 0, nat = 11, ntyp = 3
/
ATOMIC_SPECIES
Sm 150.36 Sm.upf
Y 88.91 Y.upf
Er 167.26 Er.upf
CELL_PARAMETERS angstrom
-2.372 2.372 16.842
2.372 -2.372 16.842
2.372 2.372 -16.842
ATOMIC_POSITIONS crystal
Sm 0.122 0.622 0.500
Sm 0.200 0.200 0.000
Sm 0.378 0.878 0.500
Sm 0.622 0.122 0.500
Sm 0.800 0.800 0.000
Sm 0.878 0.378 0.500
Y 0.046 0.046 0.000
Y 0.954 0.954 0.000
Er 0.302 0.302 0.000
Er 0.500 0.500 0.000
Er 0.698 0.698 0.000
```

Entry 12:
VASP calculation (GGA-PBE) on an optimized crystal structure of NaNdTm2Te4. Values from VASP.

Values from the calculation:
ΔE_f (raw): -1.295 eV/atom
Spin magnetization: 0.0 μB/f.u.
Fermi-level density of states: 2.87 states/eV/cell

Quantum ESPRESSO input file:
```
&SYSTEM
  ibrav = 0, nat = 8, ntyp = 4
/
ATOMIC_SPECIES
Na 22.99 Na.upf
Nd 144.24 Nd.upf
Tm 168.93 Tm.upf
Te 127.60 Te.upf
CELL_PARAMETERS angstrom
7.654 0.000 0.000
0.000 4.349 0.000
-2.472 0.000 7.283
ATOMIC_POSITIONS crystal
Na 0.000 0.000 0.000
Nd 0.500 0.500 0.000
Tm 0.000 0.500 0.500
Tm 0.500 0.000 0.500
Te 0.242 0.000 0.737
Te 0.253 0.500 0.263
Te 0.747 0.500 0.737
Te 0.758 0.000 0.263
```